SrTa2Cl | PBE | optimized geometry

Cell: 6.247 6.247 6.247 Å, 151.09 118.90 68.98°
Fractional coordinates of all 4 atoms:
Sr 0.000 0.000 0.000
Ta 0.339 0.839 0.500
Ta 0.549 0.549 0.000
Cl 0.751 0.251 0.500

Calculated values
As for the crystal system: orthorhombic. The value obtained for the total energy is -25.1 eV per formula unit. The uncorrected formation energy is 0.54 eV/atom.